(1)
Crystalline BaPdSeO at its relaxed geometry, computed with PBE-GGA.

Geometry as POSCAR:
```
BaPdSeO
1.0
6.9793 0.0000 0.0000
0.0000 7.2296 0.0000
0.0000 0.0000 7.6964
Ba Pd Se O
4 4 4 4
direct
0.1637 0.1052 0.3584
0.3363 0.8948 0.8584
0.6637 0.3948 0.6416
0.8363 0.6052 0.1416
0.1447 0.5738 0.4817
0.3553 0.4262 0.9817
0.6447 0.9262 0.5183
0.8553 0.0738 0.0183
0.0646 0.2988 0.8824
0.4354 0.7012 0.3824
0.5646 0.2012 0.1176
0.9354 0.7988 0.6176
0.0597 0.8942 0.0888
0.4403 0.1058 0.5888
0.5597 0.6058 0.9112
0.9403 0.3942 0.4112
```

Values from the calculation:
uncorrected energy	-5.120	eV/atom
SG	P2_12_12_1



(2)
Crystalline DyMg2 at its relaxed geometry, computed with PBE-GGA.

Geometry as POSCAR:
```
DyMg2
1.0
4.8623 -2.9584 0.0000
4.8623 2.9584 0.0000
0.0000 0.0000 5.4144
Dy Mg
2 4
direct
0.1703 0.8297 0.7500
0.8297 0.1703 0.2500
0.1764 0.4926 0.2500
0.4926 0.1764 0.7500
0.5074 0.8236 0.2500
0.8236 0.5074 0.7500
```

Values from the calculation:
uncorrected energy	-2.550	eV/atom
total magnetic moment	0.002	μB per atom
SG	Cmcm



(3)
Crystalline In2GaIr at its relaxed geometry, computed with PBE-GGA.

Geometry as POSCAR:
```
In2GaIr
1.0
0.0000 3.3804 3.3804
3.3804 0.0000 3.3804
3.3804 3.3804 0.0000
In Ga Ir
2 1 1
direct
0.0000 0.0000 0.0000
0.2500 0.2500 0.2500
0.5000 0.5000 0.5000
0.7500 0.7500 0.7500
```

Values from the calculation:
uncorrected energy	-4.108	eV/atom
total magnetic moment	0.001	μB per atom
SG	F-43m



(4)
Crystalline ZrSc2Si at its relaxed geometry, computed with PBE-GGA.

Geometry as POSCAR:
```
ZrSc2Si
1.0
0.0000 3.3932 3.3932
3.3932 0.0000 3.3932
3.3932 3.3932 0.0000
Zr Sc Si
1 2 1
direct
0.0000 0.0000 0.0000
0.2500 0.2500 0.2500
0.5000 0.5000 0.5000
0.7500 0.7500 0.7500
```

Values from the calculation:
uncorrected energy	-6.837	eV/atom
total magnetic moment	0.001	μB per atom
SG	F-43m



(5)
Crystalline TmFeIr at its relaxed geometry, computed with PBE-GGA.

Geometry as POSCAR:
```
TmFeIr
1.0
0.0000 3.1365 3.1365
3.1365 0.0000 3.1365
3.1365 3.1365 0.0000
Tm Fe Ir
1 1 1
direct
0.0000 0.0000 0.0000
0.5000 0.5000 0.5000
0.7500 0.7500 0.7500
```

Values from the calculation:
uncorrected energy	-7.295	eV/atom
total magnetic moment	1.157	μB per atom
SG	F-43m



(6)
Crystalline SrNiSn at its relaxed geometry, computed with PBE-GGA.

Geometry as POSCAR:
```
SrNiSn
1.0
6.6212 0.0000 0.0000
0.0000 6.6691 0.0000
-4.4301 0.0000 6.8286
Sr Ni Sn
4 4 4
direct
0.2056 0.1453 0.4127
0.2056 0.3547 0.9127
0.7944 0.6453 0.0873
0.7944 0.8547 0.5873
0.3806 0.5889 0.3329
0.3806 0.9111 0.8329
0.6194 0.0889 0.1671
0.6194 0.4111 0.6671
0.2671 0.6417 0.5804
0.2671 0.8583 0.0804
0.7329 0.1417 0.9196
0.7329 0.3583 0.4196
```

Values from the calculation:
uncorrected energy	-4.225	eV/atom
total magnetic moment	0.000	μB per atom
SG	P2_1/c



(7)
Crystalline Sb2Au at its relaxed geometry, computed with PBE-GGA.

Geometry as POSCAR:
```
Sb2Au
1.0
0.0000 3.4238 3.4238
3.4238 0.0000 3.4238
3.4238 3.4238 0.0000
Sb Au
2 1
direct
0.2500 0.2500 0.2500
0.7500 0.7500 0.7500
0.0000 0.0000 0.0000
```

Values from the calculation:
uncorrected energy	-3.781	eV/atom
SG	Fm-3m



(8)
Crystalline Y2LuPb at its relaxed geometry, computed with PBE-GGA.

Geometry as POSCAR:
```
Y2LuPb
1.0
0.0000 3.8425 3.8425
3.8425 0.0000 3.8425
3.8425 3.8425 0.0000
Y Lu Pb
2 1 1
direct
0.0000 0.0000 0.0000
0.2500 0.2500 0.2500
0.7500 0.7500 0.7500
0.5000 0.5000 0.5000
```

Values from the calculation:
uncorrected energy	-5.350	eV/atom
total magnetic moment	0.231	μB per atom
SG	F-43m



(9)
Crystalline TlAgHg2 at its relaxed geometry, computed with PBE-GGA.

Geometry as POSCAR:
```
TlAgHg2
1.0
0.0000 3.6650 3.6650
3.6650 0.0000 3.6650
3.6650 3.6650 0.0000
Tl Ag Hg
1 1 2
direct
0.0000 0.0000 0.0000
0.7500 0.7500 0.7500
0.2500 0.2500 0.2500
0.5000 0.5000 0.5000
```

Values from the calculation:
uncorrected energy	-1.350	eV/atom
SG	F-43m



(10)
Crystalline LiScFeS3 at its relaxed geometry, computed with PBE-GGA.

Geometry as POSCAR:
```
LiScFeS3
1.0
1.8270 -6.0272 0.0000
1.8270 6.0272 0.0000
0.0000 0.0000 9.8883
Li Sc Fe S
2 2 2 6
direct
0.2328 0.7672 0.7500
0.7672 0.2328 0.2500
0.0000 0.0000 0.0000
0.0000 0.0000 0.5000
0.4771 0.5229 0.2500
0.5229 0.4771 0.7500
0.0920 0.9080 0.2500
0.3623 0.6377 0.0717
0.3623 0.6377 0.4283
0.6377 0.3623 0.5717
0.6377 0.3623 0.9283
0.9080 0.0920 0.7500
```

Values from the calculation:
uncorrected energy	-5.978	eV/atom
total magnetic moment	0.655	μB per atom
SG	Cmcm



(11)
Crystalline ZnAgAsO at its relaxed geometry, computed with PBE-GGA.

Geometry as POSCAR:
```
ZnAgAsO
1.0
3.5658 0.0000 0.0000
0.0000 7.1716 0.0000
0.0000 0.0000 5.3456
Zn Ag As O
2 2 2 2
direct
0.0000 0.1617 0.0000
0.0000 0.8383 0.5000
0.5000 0.2370 0.5047
0.5000 0.7630 0.0047
0.5000 0.4141 0.9589
0.5000 0.5859 0.4589
0.0000 0.0786 0.3474
0.0000 0.9214 0.8474
```

Values from the calculation:
uncorrected energy	-3.702	eV/atom
SG	Pmc2_1



(12)
Crystalline SrCoNiTe3 at its relaxed geometry, computed with PBE-GGA.

Geometry as POSCAR:
```
SrCoNiTe3
1.0
1.9980 -6.8462 0.0000
1.9980 6.8462 0.0000
0.0000 0.0000 10.4696
Sr Co Ni Te
2 2 2 6
direct
0.2343 0.7657 0.7500
0.7657 0.2343 0.2500
0.0000 0.0000 0.0000
0.0000 0.0000 0.5000
0.4530 0.5470 0.2500
0.5470 0.4530 0.7500
0.0613 0.9387 0.2500
0.3771 0.6229 0.0309
0.3771 0.6229 0.4691
0.6229 0.3771 0.5309
0.6229 0.3771 0.9691
0.9387 0.0613 0.7500
```

Values from the calculation:
uncorrected energy	-4.428	eV/atom
total magnetic moment	0.003	μB per atom
SG	Cmcm



(13)
Crystalline Ho11In6Si4 at its relaxed geometry, computed with PBE-GGA.

Geometry as POSCAR:
```
Ho11In6Si4
1.0
-5.7119 5.7119 8.0638
5.7119 -5.7119 8.0638
5.7119 5.7119 -8.0638
Ho In Si
22 12 8
direct
0.0651 0.3152 0.7499
0.1014 0.4494 0.3481
0.1014 0.7533 0.6519
0.1695 0.1695 0.0000
0.2467 0.8986 0.3481
0.3152 0.0651 0.7499
0.3152 0.5653 0.2501
0.3335 0.3335 0.6670
0.3335 0.6665 0.0000
0.4347 0.6848 0.7499
0.4494 0.1014 0.3481
0.5506 0.8986 0.6519
0.5653 0.3152 0.2501
0.6665 0.3335 0.0000
0.6665 0.6665 0.3330
0.6848 0.4347 0.7499
0.6848 0.9349 0.2501
0.7533 0.1014 0.6519
0.8305 0.8305 0.0000
0.8986 0.2467 0.3481
0.8986 0.5506 0.6519
0.9349 0.6848 0.2501
0.0348 0.0348 0.4115
0.0348 0.6233 0.0000
0.1290 0.1290 0.2579
0.1290 0.8710 0.0000
0.3767 0.3767 0.4115
0.3767 0.9652 0.0000
0.6233 0.0348 0.0000
0.6233 0.6233 0.5885
0.8710 0.1290 0.0000
0.8710 0.8710 0.7421
0.9652 0.3767 0.0000
0.9652 0.9652 0.5885
0.1530 0.5000 0.6530
0.2500 0.7500 0.5000
0.3804 0.3804 0.0000
0.5000 0.1530 0.6530
0.5000 0.8470 0.3470
0.6196 0.6196 0.0000
0.7500 0.2500 0.5000
0.8470 0.5000 0.3470
```

Values from the calculation:
uncorrected energy	-4.812	eV/atom
total magnetic moment	0.004	μB per atom
SG	I4/mmm



(14)
Crystalline PaInIr at its relaxed geometry, computed with PBE-GGA.

Geometry as POSCAR:
```
PaInIr
1.0
0.0000 3.3896 3.3896
3.3896 0.0000 3.3896
3.3896 3.3896 0.0000
Pa In Ir
1 1 1
direct
0.0000 0.0000 0.0000
0.7500 0.7500 0.7500
0.2500 0.2500 0.2500
```

Values from the calculation:
uncorrected energy	-6.690	eV/atom
total magnetic moment	0.009	μB per atom
SG	F-43m



(15)
Crystalline Sm2AgPd at its relaxed geometry, computed with PBE-GGA.

Geometry as POSCAR:
```
Sm2AgPd
1.0
4.7383 0.0000 0.0000
0.0000 1.9197 5.4501
0.0000 -1.9197 5.4501
Sm Ag Pd
2 1 1
direct
0.0000 0.0000 0.0000
0.5000 0.2791 0.2791
0.5000 0.5591 0.5591
0.0000 0.7233 0.7233
```

Values from the calculation:
uncorrected energy	-4.914	eV/atom
total magnetic moment	0.004	μB per atom
SG	Amm2



(16)
Crystalline AlZn2Tc at its relaxed geometry, computed with PBE-GGA.

Geometry as POSCAR:
```
AlZn2Tc
1.0
0.0000 3.0530 3.0530
3.0530 0.0000 3.0530
3.0530 3.0530 0.0000
Al Zn Tc
1 2 1
direct
0.0000 0.0000 0.0000
0.2500 0.2500 0.2500
0.5000 0.5000 0.5000
0.7500 0.7500 0.7500
```

Values from the calculation:
uncorrected energy	-4.135	eV/atom
total magnetic moment	0.001	μB per atom
SG	F-43m



(17)
Crystalline Tm7Ir2Se2 at its relaxed geometry, computed with PBE-GGA.

Geometry as POSCAR:
```
Tm7Ir2Se2
1.0
-1.9280 7.4878 4.5571
1.9280 -7.4878 4.5571
1.9280 7.4878 -4.5571
Tm Ir Se
7 2 2
direct
0.0000 0.0000 0.0000
0.2909 0.4150 0.8759
0.3104 0.6277 0.6826
0.5391 0.4150 0.1241
0.6186 0.2598 0.3589
0.9009 0.2598 0.6411
0.9451 0.6277 0.3174
0.1678 0.9282 0.2396
0.6886 0.9282 0.7604
0.2586 0.7586 0.5000
0.6619 0.6619 0.0000
```

Values from the calculation:
uncorrected energy	-6.165	eV/atom
total magnetic moment	0.000	μB per atom
SG	Imm2



(18)
Crystalline TbHgNO at its relaxed geometry, computed with PBE-GGA.

Geometry as POSCAR:
```
TbHgNO
1.0
6.5410 0.0000 0.0000
0.0000 7.5226 0.0000
0.0000 0.0000 6.3641
Tb Hg N O
4 4 4 4
direct
0.0816 0.1191 0.0000
0.4184 0.1191 0.5000
0.5816 0.8809 0.0000
0.9184 0.8809 0.5000
0.2357 0.6037 0.8090
0.2643 0.6037 0.3090
0.7357 0.3963 0.8090
0.7643 0.3963 0.3090
0.0414 0.6104 0.5486
0.4586 0.6104 0.0486
0.5414 0.3896 0.5486
0.9586 0.3896 0.0486
0.1305 0.0624 0.6634
0.3695 0.0624 0.1634
0.6305 0.9376 0.6634
0.8695 0.9376 0.1634
```

Values from the calculation:
uncorrected energy	-5.734	eV/atom
total magnetic moment	0.000	μB per atom
SG	Pca2_1



(19)
Crystalline CsGaNiTe3 at its relaxed geometry, computed with PBE-GGA.

Geometry as POSCAR:
```
CsGaNiTe3
1.0
2.1448 -7.8410 0.0000
2.1448 7.8410 0.0000
0.0000 0.0000 11.8016
Cs Ga Ni Te
2 2 2 6
direct
0.2283 0.7717 0.7500
0.7717 0.2283 0.2500
0.5000 0.5000 0.0000
0.5000 0.5000 0.5000
0.0747 0.9253 0.2500
0.9253 0.0747 0.7500
0.1197 0.8803 0.0485
0.1197 0.8803 0.4515
0.4948 0.5052 0.2500
0.5052 0.4948 0.7500
0.8803 0.1197 0.5485
0.8803 0.1197 0.9515
```

Values from the calculation:
uncorrected energy	-3.511	eV/atom
total magnetic moment	0.001	μB per atom
SG	Cmcm



(20)
Crystalline Hf3Al3CoNi2 at its relaxed geometry, computed with PBE-GGA.

Geometry as POSCAR:
```
Hf3Al3CoNi2
1.0
6.8073 0.0000 0.0000
-3.4036 5.8953 0.0000
0.0000 0.0000 3.4779
Hf Al Co Ni
3 3 1 2
direct
0.0000 0.4081 0.0000
0.4081 0.0000 0.0000
0.5919 0.5919 0.0000
0.0000 0.7509 0.5000
0.2491 0.2491 0.5000
0.7509 0.0000 0.5000
0.0000 0.0000 0.0000
0.3333 0.6667 0.5000
0.6667 0.3333 0.5000
```

Values from the calculation:
uncorrected energy	-7.205	eV/atom
total magnetic moment	0.000	μB per atom
SG	P-62m



(21)
Crystalline CoBAsAu at its relaxed geometry, computed with PBE-GGA.

Geometry as POSCAR:
```
CoBAsAu
1.0
0.0000 2.9926 2.9926
2.9926 0.0000 2.9926
2.9926 2.9926 0.0000
Co B As Au
1 1 1 1
direct
0.0000 0.0000 0.0000
0.7500 0.7500 0.7500
0.2500 0.2500 0.2500
0.5000 0.5000 0.5000
```

Values from the calculation:
uncorrected energy	-4.519	eV/atom
total magnetic moment	0.001	μB per atom
SG	F-43m



(22)
Crystalline CdFeTcB at its relaxed geometry, computed with PBE-GGA.

Geometry as POSCAR:
```
CdFeTcB
1.0
0.0000 2.9742 2.9742
2.9742 0.0000 2.9742
2.9742 2.9742 0.0000
Cd Fe Tc B
1 1 1 1
direct
0.0000 0.0000 0.0000
0.7500 0.7500 0.7500
0.2500 0.2500 0.2500
0.5000 0.5000 0.5000
```

Values from the calculation:
uncorrected energy	-5.676	eV/atom
total magnetic moment	0.675	μB per atom
SG	F-43m



(23)
Crystalline LaHfAs at its relaxed geometry, computed with PBE-GGA.

Geometry as POSCAR:
```
LaHfAs
1.0
0.0000 3.5498 3.5498
3.5498 0.0000 3.5498
3.5498 3.5498 0.0000
La Hf As
1 1 1
direct
0.0000 0.0000 0.0000
0.2500 0.2500 0.2500
0.7500 0.7500 0.7500
```

Values from the calculation:
uncorrected energy	-5.872	eV/atom
total magnetic moment	0.618	μB per atom
SG	F-43m